Density functional theory data (GGA-PBE) for a relaxed PmMg3Hg2 crystal.

a = 16.8071 Å, b = 4.7481 Å, c = 7.8194 Å
α = 90.00°, β = 112.20°, γ = 90.00°
Space group C2/m (No. 12)
One atom of each set of equivalent atoms:
Pm 0.1214 0.0000 0.1877 (multiplicity 4)
Mg 0.0668 0.0000 0.7032 (multiplicity 4)
Mg 0.1322 0.5000 0.5064 (multiplicity 4)
Mg 0.1938 0.5000 0.9252 (multiplicity 4)
Hg 0.0144 0.5000 0.8256 (multiplicity 4)
Hg 0.2328 0.0000 0.6753 (multiplicity 4)


Density functional theory data (GGA-PBE) for a relaxed Pm2Mg2Hg crystal.

## Properties
* energy relative to the lowest polymorph listed for this composition: 16.7 meV/atom

a = 11.3433 Å, b = 5.1848 Å, c = 9.5162 Å
α = 90.00°, β = 107.37°, γ = 90.00°
Space group C2/m (No. 12)
One atom of each set of equivalent atoms:
Pm 0.0286 0.0000 0.3437 (multiplicity 4)
Pm 0.1679 0.0000 0.0703 (multiplicity 4)
Mg 0.0204 0.5000 0.8581 (multiplicity 4)
Mg 0.1457 0.5000 0.5733 (multiplicity 4)
Hg 0.2370 0.5000 0.3017 (multiplicity 4)


Density functional theory data (GGA-PBE) for a relaxed PmMg5Hg2 crystal.

a = 3.8856 Å, b = 8.7635 Å, c = 11.2247 Å
α = 90.00°, β = 90.00°, γ = 90.00°
Space group Immm (No. 71)
One atom of each set of equivalent atoms:
Pm 0.0000 0.0000 0.0000 (multiplicity 2)
Mg 0.0000 0.2001 0.3581 (multiplicity 8)
Mg 0.0000 0.5000 0.0000 (multiplicity 2)
Hg 0.0000 0.5000 0.2646 (multiplicity 4)


Density functional theory data (GGA-PBE) for a relaxed PmMgHg2 crystal.

## Properties
* energy relative to the lowest polymorph listed for this composition: 0.0 meV/atom

a = 7.2878 Å, b = 7.2878 Å, c = 7.2878 Å
α = 90.00°, β = 90.00°, γ = 90.00°
Space group Fm-3m (No. 225)
One atom of each set of equivalent atoms:
Pm 0.0000 0.0000 0.0000 (multiplicity 4)
Mg 0.0000 0.0000 0.5000 (multiplicity 4)
Hg 0.2500 0.2500 0.2500 (multiplicity 8)


Density functional theory data (GGA-PBE) for a relaxed Pm3Mg7Hg4 crystal.

a = 17.2570 Å, b = 4.6333 Å, c = 10.6407 Å
α = 90.00°, β = 125.83°, γ = 90.00°
Space group C2/m (No. 12)
One atom of each set of equivalent atoms:
Pm 0.0000 0.0000 0.0000 (multiplicity 2)
Pm 0.1953 0.5000 0.7034 (multiplicity 4)
Mg 0.0000 0.0000 0.5000 (multiplicity 2)
Mg 0.0090 0.5000 0.3043 (multiplicity 4)
Mg 0.1608 0.0000 0.4279 (multiplicity 4)
Mg 0.1768 0.5000 0.0164 (multiplicity 4)
Hg 0.1189 0.0000 0.8338 (multiplicity 4)
Hg 0.1559 0.5000 0.2585 (multiplicity 4)


Density functional theory data (GGA-PBE) for a relaxed Pm4Mg5Hg crystal.

a = 16.1016 Å, b = 5.3040 Å, c = 6.7094 Å
α = 90.00°, β = 106.36°, γ = 90.00°
Space group C2/m (No. 12)
One atom of each set of equivalent atoms:
Pm 0.0974 0.0000 0.3964 (multiplicity 4)
Pm 0.1915 0.5000 0.8077 (multiplicity 4)
Mg 0.0000 0.5000 0.0000 (multiplicity 2)
Mg 0.0976 0.0000 0.9217 (multiplicity 4)
Mg 0.1982 0.5000 0.2979 (multiplicity 4)
Hg 0.0000 0.5000 0.5000 (multiplicity 2)


Number 1: DFT formation energy -0.28 eV per atom. Number 2: DFT formation energy -0.20 eV per atom. Number 3: DFT formation energy -0.23 eV per atom. Number 4: DFT formation energy -0.47 eV per atom. Number 5: DFT formation energy -0.30 eV per atom. Number 6: DFT formation energy -0.16 eV per atom.